No. 1
Density functional theory data (GGA-PBE) for a relaxed structure of Ti2InBi.

```
data_Ti2InBi
_symmetry_space_group_name_H-M 'P 4/m m m'
_symmetry_Int_Tables_number 123
_symmetry_space_group_name_Hall '-P 4 2'
_cell_length_a 4.493
_cell_length_b 4.493
_cell_length_c 4.116
_cell_angle_alpha 90.00
_cell_angle_beta 90.00
_cell_angle_gamma 90.00
loop_
_atom_site_label
_atom_site_type_symbol
_atom_site_fract_x
_atom_site_fract_y
_atom_site_fract_z
_atom_site_occupancy
Ti1 Ti 0.000 0.500 0.000 1
In1 In 0.000 0.000 0.500 1
Bi1 Bi 0.500 0.500 0.500 1
```

ΔE to the lowest computed polymorph	0.000	eV/atom
M_tot	0.0	μB per cell

No. 2
Density functional theory data (GGA-PBE) for a relaxed structure of Sr3NbAl.

```
data_Sr3NbAl
_symmetry_space_group_name_H-M 'P m -3 m'
_symmetry_Int_Tables_number 221
_symmetry_space_group_name_Hall '-P 4 2 3'
_cell_length_a 6.113
_cell_length_b 6.113
_cell_length_c 6.113
_cell_angle_alpha 90.00
_cell_angle_beta 90.00
_cell_angle_gamma 90.00
loop_
_atom_site_label
_atom_site_type_symbol
_atom_site_fract_x
_atom_site_fract_y
_atom_site_fract_z
_atom_site_occupancy
Sr1 Sr 0.000 0.000 0.500 1
Nb1 Nb 0.500 0.500 0.500 1
Al1 Al 0.000 0.000 0.000 1
```

ΔE to the lowest computed polymorph	0.000	eV/atom
M_tot	4.0	μB per cell

What is the formula in the second record?
Sr3NbAl

Repeat the second record exactly.
Density functional theory data (GGA-PBE) for a relaxed structure of Sr3NbAl.

```
data_Sr3NbAl
_symmetry_space_group_name_H-M 'P m -3 m'
_symmetry_Int_Tables_number 221
_symmetry_space_group_name_Hall '-P 4 2 3'
_cell_length_a 6.113
_cell_length_b 6.113
_cell_length_c 6.113
_cell_angle_alpha 90.00
_cell_angle_beta 90.00
_cell_angle_gamma 90.00
loop_
_atom_site_label
_atom_site_type_symbol
_atom_site_fract_x
_atom_site_fract_y
_atom_site_fract_z
_atom_site_occupancy
Sr1 Sr 0.000 0.000 0.500 1
Nb1 Nb 0.500 0.500 0.500 1
Al1 Al 0.000 0.000 0.000 1
```

ΔE to the lowest computed polymorph	0.000	eV/atom
M_tot	4.0	μB per cell

Number 1 is which compound?
Ti2InBi